Entry 1:
VASP calculation (PBE) on a relaxed UPa2Sn crystal.

abc: 3.8074 3.8074 6.6642
angles: 90.00 90.00 90.00
Fractional coordinates of all 4 atoms:
U 0.0000 0.0000 0.0000
Pa 0.5000 0.5000 0.2323
Pa 0.5000 0.5000 0.7677
Sn 0.0000 0.0000 0.5000

Values from the calculation:
The calculation puts the calculated formation energy at 35 meV per atom. Its space-group type is P4/mmm. The volume comes out at 24.152 A^3/atom. For the excess energy over the best structure of this formula in the dataset, the calculation gives 127 meV/atom. As for the crystal system: tetragonal.

***

Entry 2:
VASP calculation (PBE) on a relaxed UPaSn crystal.

abc: 5.0746 5.0746 3.1031
angles: 90.00 90.00 120.00
Fractional coordinates of all 3 atoms:
U 0.0000 0.0000 0.0000
Pa 0.3333 0.6667 0.0000
Sn 0.6667 0.3333 0.5000

Values from the calculation:
The calculation puts the calculated formation energy at 109 meV per atom. Its space-group type is P-6m2. The volume comes out at 23.068 A^3/atom. For the excess energy over the best structure of this formula in the dataset, the calculation gives 100 meV/atom. As for the crystal system: hexagonal.

***

Entry 3:
VASP calculation (PBE) on a relaxed U2PaSn crystal.

abc: 4.4606 4.4606 4.6019
angles: 90.00 90.00 90.00
Fractional coordinates of all 4 atoms:
U 0.0000 0.5000 0.0000
U 0.5000 0.0000 0.0000
Pa 0.0000 0.0000 0.5000
Sn 0.5000 0.5000 0.5000

Values from the calculation:
The calculation puts the calculated formation energy at -3 meV per atom. Its space-group type is P4/mmm. The volume comes out at 22.892 A^3/atom. For the excess energy over the best structure of this formula in the dataset, the calculation gives 0 meV/atom. As for the crystal system: tetragonal.

***

Entry 4:
VASP calculation (PBE) on a relaxed UPa2Sn crystal.

abc: 4.6121 4.6121 4.4934
angles: 90.00 90.00 90.00
Fractional coordinates of all 4 atoms:
U 0.0000 0.0000 0.0000
Pa 0.0000 0.5000 0.5000
Pa 0.5000 0.0000 0.5000
Sn 0.5000 0.5000 0.0000

Values from the calculation:
The calculation puts the calculated formation energy at -91 meV per atom. Its space-group type is P4/mmm. The volume comes out at 23.895 A^3/atom. For the excess energy over the best structure of this formula in the dataset, the calculation gives 0 meV/atom. As for the crystal system: tetragonal.

***

Entry 5:
VASP calculation (PBE) on a relaxed UPaSn crystal.

abc: 5.8033 5.8033 5.8033
angles: 143.05 143.05 53.24
Fractional coordinates of all 3 atoms:
U 0.0000 0.0000 0.0000
Pa 0.3956 0.3956 0.0000
Sn 0.6972 0.6972 0.0000

Values from the calculation:
The calculation puts the calculated formation energy at 9 meV per atom. Its space-group type is I4mm. The volume comes out at 23.389 A^3/atom. For the excess energy over the best structure of this formula in the dataset, the calculation gives 0 meV/atom. As for the crystal system: tetragonal.

***

Entry 6:
VASP calculation (PBE) on a relaxed UPaSn2 crystal.

abc: 4.6044 4.6044 4.6960
angles: 90.00 90.00 90.00
Fractional coordinates of all 4 atoms:
U 0.0000 0.0000 0.0000
Pa 0.5000 0.5000 0.0000
Sn 0.0000 0.5000 0.5000
Sn 0.5000 0.0000 0.5000

Values from the calculation:
The calculation puts the calculated formation energy at -42 meV per atom. Its space-group type is P4/mmm. The volume comes out at 24.890 A^3/atom. For the excess energy over the best structure of this formula in the dataset, the calculation gives 14 meV/atom. As for the crystal system: tetragonal.